Record 1
First-principles (PBE) data for AgRu3Au after structural relaxation, as listed in Alexandria.

Calculated values
Energy above the most stable polymorph in this dataset   0 meV/atom
Space-group type   Pm-3m, No. 221

Cell: 4.879 4.879 4.879 Å, 90.00 90.00 90.00°
Sites, in units of the cell vectors:
Ag 0.000 0.000 0.000
Ru 0.000 0.500 0.500
Ru 0.500 0.000 0.500
Ru 0.500 0.500 0.000
Au 0.500 0.500 0.500

---

Record 2
First-principles (PBE) data for AgRu4Au after structural relaxation, as listed in Alexandria.

Calculated values
Space-group type   F-43m, No. 216

Cell: 5.155 5.155 5.155 Å, 60.00 60.00 60.00°
Sites, in units of the cell vectors:
Ag 0.000 0.000 0.000
Ru 0.375 0.375 0.375
Ru 0.375 0.375 0.875
Ru 0.375 0.875 0.375
Ru 0.875 0.375 0.375
Au 0.750 0.750 0.750

---

Record 3
First-principles (PBE) data for AgRuAu after structural relaxation, as listed in Alexandria.

Calculated values
Energy above the most stable polymorph in this dataset   0 meV/atom
Space-group type   P3m1, No. 156

Cell: 2.822 2.822 7.193 Å, 90.00 90.00 120.00°
Sites, in units of the cell vectors:
Ag 0.000 0.000 0.000
Ru 0.333 0.667 0.671
Au 0.667 0.333 0.345

---

Record 4
First-principles (PBE) data for AgRuAu after structural relaxation, as listed in Alexandria.

Calculated values
Energy above the most stable polymorph in this dataset   128 meV/atom
Space-group type   Imm2, No. 44

Cell: 4.985 4.985 4.985 Å, 147.48 130.54 60.45°
Sites, in units of the cell vectors:
Ag 0.000 0.000 0.000
Ru 0.334 0.334 0.000
Au 0.672 0.672 0.000

---

Record 5
First-principles (PBE) data for AgRuAu after structural relaxation, as listed in Alexandria.

Calculated values
Energy above the most stable polymorph in this dataset   483 meV/atom
Space-group type   F-43m, No. 216

Cell: 4.405 4.405 4.405 Å, 60.00 60.00 60.00°
Sites, in units of the cell vectors:
Ag 0.000 0.000 0.000
Ru 0.500 0.500 0.500
Au 0.250 0.250 0.250

---

Record 6
First-principles (PBE) data for Ag4RuAu after structural relaxation, as listed in Alexandria.

Calculated values
Space-group type   F-43m, No. 216

Cell: 5.368 5.368 5.368 Å, 60.00 60.00 60.00°
Sites, in units of the cell vectors:
Ag 0.125 0.125 0.125
Ag 0.125 0.125 0.625
Ag 0.125 0.625 0.125
Ag 0.625 0.125 0.125
Ru 0.500 0.500 0.500
Au 0.750 0.750 0.750

---

| no. | magnetization (μB per cell) | DFT formation energy (eV/atom) |
| --- | --- | --- |
| 1 | 6.04 | 2.154 |
| 2 | 2.83 | 0.691 |
| 3 | 0.88 | 0.363 |
| 4 | 1.72 | 0.491 |
| 5 | 2.29 | 0.847 |
| 6 | 1.93 | 0.572 |